# GGA-PBEsol TlMo2P, optimized geometry
data_TlMo2P
_cell_length_a 3.4062
_cell_length_b 3.4062
_cell_length_c 20.8851
_cell_angle_alpha 90.00
_cell_angle_beta 90.00
_cell_angle_gamma 120.00
_symmetry_space_group_name_H-M 'R 3 m'
_symmetry_Int_Tables_number 160
_symmetry_space_group_name_Hall 'R 3 -2"'
loop_
_atom_site_label
_atom_site_type_symbol
_atom_site_fract_x
_atom_site_fract_y
_atom_site_fract_z
Tl1 Tl 0.0000 0.0000 0.0000
Mo1 Mo 0.0000 0.0000 0.2243
Mo2 Mo 0.0000 0.0000 0.4408
P1 P 0.0000 0.0000 0.8324
# polymorph energy (0 for the lowest one): 0.000 eV/atom
# energy of formation from the pure elements: 0.095 eV/atom
# total DFT energy (no corrections): -7.894 eV/atom
# crystal system: trigonal

# GGA-PBEsol TlMo2P, optimized geometry
data_TlMo2P
_cell_length_a 5.9679
_cell_length_b 3.3781
_cell_length_c 7.6066
_cell_angle_alpha 90.00
_cell_angle_beta 111.53
_cell_angle_gamma 90.00
_symmetry_space_group_name_H-M 'C 1 2/m 1'
_symmetry_Int_Tables_number 12
_symmetry_space_group_name_Hall '-C 2y'
loop_
_atom_site_label
_atom_site_type_symbol
_atom_site_fract_x
_atom_site_fract_y
_atom_site_fract_z
Tl1 Tl 0.0000 0.0000 0.0000
Mo1 Mo 0.2482 0.0000 0.6703
P1 P 0.0000 0.5000 0.5000
# polymorph energy (0 for the lowest one): 0.023 eV/atom
# energy of formation from the pure elements: 0.118 eV/atom
# total DFT energy (no corrections): -7.871 eV/atom
# crystal system: monoclinic

# GGA-PBEsol Tl2MoP, optimized geometry
data_Tl2MoP
_cell_length_a 3.7092
_cell_length_b 3.7092
_cell_length_c 5.5524
_cell_angle_alpha 90.00
_cell_angle_beta 90.00
_cell_angle_gamma 90.00
_symmetry_space_group_name_H-M 'P 4/m m m'
_symmetry_Int_Tables_number 123
_symmetry_space_group_name_Hall '-P 4 2'
loop_
_atom_site_label
_atom_site_type_symbol
_atom_site_fract_x
_atom_site_fract_y
_atom_site_fract_z
Tl1 Tl 0.0000 0.0000 0.2504
Mo1 Mo 0.5000 0.5000 0.0000
P1 P 0.5000 0.5000 0.5000
# polymorph energy (0 for the lowest one): 0.000 eV/atom
# energy of formation from the pure elements: 0.758 eV/atom
# total DFT energy (no corrections): -4.946 eV/atom
# crystal system: tetragonal

# GGA-PBEsol TlMo2P, optimized geometry
data_TlMo2P
_cell_length_a 5.6670
_cell_length_b 8.5195
_cell_length_c 2.9700
_cell_angle_alpha 90.00
_cell_angle_beta 112.95
_cell_angle_gamma 90.00
_symmetry_space_group_name_H-M 'C 1 2/m 1'
_symmetry_Int_Tables_number 12
_symmetry_space_group_name_Hall '-C 2y'
loop_
_atom_site_label
_atom_site_type_symbol
_atom_site_fract_x
_atom_site_fract_y
_atom_site_fract_z
Tl1 Tl 0.0000 0.0000 0.0000
Mo1 Mo 0.2500 0.2500 0.5000
P1 P 0.0000 0.5000 0.0000
# polymorph energy (0 for the lowest one): 0.565 eV/atom
# energy of formation from the pure elements: 0.660 eV/atom
# total DFT energy (no corrections): -7.329 eV/atom
# crystal system: monoclinic

# GGA-PBEsol Tl2MoP, optimized geometry
data_Tl2MoP
_cell_length_a 4.8569
_cell_length_b 3.3988
_cell_length_c 4.8839
_cell_angle_alpha 90.00
_cell_angle_beta 106.41
_cell_angle_gamma 90.00
_symmetry_space_group_name_H-M 'P 1 2/m 1'
_symmetry_Int_Tables_number 10
_symmetry_space_group_name_Hall '-P 2y'
loop_
_atom_site_label
_atom_site_type_symbol
_atom_site_fract_x
_atom_site_fract_y
_atom_site_fract_z
Tl1 Tl 0.0000 0.0000 0.0000
Tl2 Tl 0.5000 0.5000 0.0000
Mo1 Mo 0.0000 0.5000 0.5000
P1 P 0.5000 0.0000 0.5000
# polymorph energy (0 for the lowest one): 0.020 eV/atom
# energy of formation from the pure elements: 0.778 eV/atom
# total DFT energy (no corrections): -4.926 eV/atom
# crystal system: monoclinic

# GGA-PBEsol Tl2MoP, optimized geometry
data_Tl2MoP
_cell_length_a 4.0196
_cell_length_b 4.0196
_cell_length_c 9.6324
_cell_angle_alpha 90.00
_cell_angle_beta 90.00
_cell_angle_gamma 90.00
_symmetry_space_group_name_H-M 'I 4/m m m'
_symmetry_Int_Tables_number 139
_symmetry_space_group_name_Hall '-I 4 2'
loop_
_atom_site_label
_atom_site_type_symbol
_atom_site_fract_x
_atom_site_fract_y
_atom_site_fract_z
Tl1 Tl 0.0000 0.5000 0.2500
Mo1 Mo 0.0000 0.0000 0.0000
P1 P 0.0000 0.0000 0.5000
# polymorph energy (0 for the lowest one): 0.083 eV/atom
# energy of formation from the pure elements: 0.841 eV/atom
# total DFT energy (no corrections): -4.864 eV/atom
# crystal system: tetragonal

# GGA-PBEsol TlMo2P, optimized geometry
data_TlMo2P
_cell_length_a 3.2875
_cell_length_b 4.2703
_cell_length_c 4.6923
_cell_angle_alpha 90.00
_cell_angle_beta 90.00
_cell_angle_gamma 90.00
_symmetry_space_group_name_H-M 'P m m m'
_symmetry_Int_Tables_number 47
_symmetry_space_group_name_Hall '-P 2 2'
loop_
_atom_site_label
_atom_site_type_symbol
_atom_site_fract_x
_atom_site_fract_y
_atom_site_fract_z
Tl1 Tl 0.0000 0.0000 0.0000
Mo1 Mo 0.0000 0.5000 0.5000
Mo2 Mo 0.5000 0.5000 0.0000
P1 P 0.5000 0.0000 0.5000
# polymorph energy (0 for the lowest one): 0.560 eV/atom
# energy of formation from the pure elements: 0.655 eV/atom
# total DFT energy (no corrections): -7.334 eV/atom
# crystal system: orthorhombic

# GGA-PBEsol Tl2MoP, optimized geometry
data_Tl2MoP
_cell_length_a 4.4359
_cell_length_b 4.4359
_cell_length_c 4.0367
_cell_angle_alpha 90.00
_cell_angle_beta 90.00
_cell_angle_gamma 90.00
_symmetry_space_group_name_H-M 'P 4/m m m'
_symmetry_Int_Tables_number 123
_symmetry_space_group_name_Hall '-P 4 2'
loop_
_atom_site_label
_atom_site_type_symbol
_atom_site_fract_x
_atom_site_fract_y
_atom_site_fract_z
Tl1 Tl 0.0000 0.5000 0.0000
Mo1 Mo 0.0000 0.0000 0.5000
P1 P 0.5000 0.5000 0.5000
# polymorph energy (0 for the lowest one): 0.096 eV/atom
# energy of formation from the pure elements: 0.854 eV/atom
# total DFT energy (no corrections): -4.850 eV/atom
# crystal system: tetragonal

# GGA-PBEsol TlMo2P, optimized geometry
data_TlMo2P
_cell_length_a 3.8974
_cell_length_b 3.8974
_cell_length_c 8.5066
_cell_angle_alpha 90.00
_cell_angle_beta 90.00
_cell_angle_gamma 90.00
_symmetry_space_group_name_H-M 'I -4 m 2'
_symmetry_Int_Tables_number 119
_symmetry_space_group_name_Hall 'I -4 -2'
loop_
_atom_site_label
_atom_site_type_symbol
_atom_site_fract_x
_atom_site_fract_y
_atom_site_fract_z
Tl1 Tl 0.0000 0.0000 0.0000
Mo1 Mo 0.0000 0.0000 0.5000
Mo2 Mo 0.0000 0.5000 0.2500
P1 P 0.0000 0.5000 0.7500
# polymorph energy (0 for the lowest one): 0.553 eV/atom
# energy of formation from the pure elements: 0.648 eV/atom
# total DFT energy (no corrections): -7.341 eV/atom
# crystal system: tetragonal

# GGA-PBEsol Mo2PW, optimized geometry
data_Mo2PW
_cell_length_a 2.9275
_cell_length_b 4.0462
_cell_length_c 4.9506
_cell_angle_alpha 90.00
_cell_angle_beta 91.12
_cell_angle_gamma 90.00
_symmetry_space_group_name_H-M 'P 1 m 1'
_symmetry_Int_Tables_number 6
_symmetry_space_group_name_Hall 'P -2y'
loop_
_atom_site_label
_atom_site_type_symbol
_atom_site_fract_x
_atom_site_fract_y
_atom_site_fract_z
Mo1 Mo 0.0000 0.0000 0.0000
Mo2 Mo 0.4752 0.5000 0.7374
P1 P 0.4804 0.5000 0.2371
W1 W 0.9418 0.0000 0.4853
# energy of formation from the pure elements: 0.053 eV/atom
# total DFT energy (no corrections): -10.730 eV/atom
# crystal system: monoclinic

# GGA-PBEsol MoPW2, optimized geometry
data_MoPW2
_cell_length_a 3.6290
_cell_length_b 3.6290
_cell_length_c 8.8250
_cell_angle_alpha 90.00
_cell_angle_beta 90.00
_cell_angle_gamma 90.00
_symmetry_space_group_name_H-M 'I -4 m 2'
_symmetry_Int_Tables_number 119
_symmetry_space_group_name_Hall 'I -4 -2'
loop_
_atom_site_label
_atom_site_type_symbol
_atom_site_fract_x
_atom_site_fract_y
_atom_site_fract_z
Mo1 Mo 0.0000 0.0000 0.0000
P1 P 0.0000 0.5000 0.2500
W1 W 0.0000 0.0000 0.5000
W2 W 0.0000 0.5000 0.7500
# energy of formation from the pure elements: 0.205 eV/atom
# total DFT energy (no corrections): -11.088 eV/atom
# crystal system: tetragonal

# GGA-PBEsol MoPW, optimized geometry
data_MoPW
_cell_length_a 2.9339
_cell_length_b 2.9339
_cell_length_c 9.7719
_cell_angle_alpha 90.00
_cell_angle_beta 90.00
_cell_angle_gamma 90.00
_symmetry_space_group_name_H-M 'I 4 m m'
_symmetry_Int_Tables_number 107
_symmetry_space_group_name_Hall 'I 4 -2'
loop_
_atom_site_label
_atom_site_type_symbol
_atom_site_fract_x
_atom_site_fract_y
_atom_site_fract_z
Mo1 Mo 0.0000 0.0000 0.0000
P1 P 0.0000 0.0000 0.6460
W1 W 0.0000 0.0000 0.2952
# polymorph energy (0 for the lowest one): 0.000 eV/atom
# energy of formation from the pure elements: -0.119 eV/atom
# total DFT energy (no corrections): -10.575 eV/atom
# crystal system: tetragonal

# GGA-PBEsol Mo2P2W, optimized geometry
data_Mo2P2W
_cell_length_a 3.2839
_cell_length_b 3.2839
_cell_length_c 13.4862
_cell_angle_alpha 90.00
_cell_angle_beta 90.00
_cell_angle_gamma 90.00
_symmetry_space_group_name_H-M 'I 4/m m m'
_symmetry_Int_Tables_number 139
_symmetry_space_group_name_Hall '-I 4 2'
loop_
_atom_site_label
_atom_site_type_symbol
_atom_site_fract_x
_atom_site_fract_y
_atom_site_fract_z
Mo1 Mo 0.0000 0.0000 0.1137
P1 P 0.0000 0.5000 0.2500
W1 W 0.0000 0.0000 0.5000
# energy of formation from the pure elements: 0.022 eV/atom
# total DFT energy (no corrections): -9.763 eV/atom
# crystal system: tetragonal

# GGA-PBEsol MoPW2, optimized geometry
data_MoPW2
_cell_length_a 6.1444
_cell_length_b 6.1444
_cell_length_c 6.1444
_cell_angle_alpha 90.00
_cell_angle_beta 90.00
_cell_angle_gamma 90.00
_symmetry_space_group_name_H-M 'F -4 3 m'
_symmetry_Int_Tables_number 216
_symmetry_space_group_name_Hall 'F -4 2 3'
loop_
_atom_site_label
_atom_site_type_symbol
_atom_site_fract_x
_atom_site_fract_y
_atom_site_fract_z
Mo1 Mo 0.0000 0.0000 0.0000
P1 P 0.2500 0.2500 0.2500
W1 W 0.0000 0.0000 0.5000
W2 W 0.2500 0.2500 0.7500
# energy of formation from the pure elements: 0.239 eV/atom
# total DFT energy (no corrections): -11.054 eV/atom
# crystal system: cubic

# GGA-PBEsol MoPW2, optimized geometry
data_MoPW2
_cell_length_a 2.8900
_cell_length_b 2.8900
_cell_length_c 24.6506
_cell_angle_alpha 90.00
_cell_angle_beta 90.00
_cell_angle_gamma 120.00
_symmetry_space_group_name_H-M 'R 3 m'
_symmetry_Int_Tables_number 160
_symmetry_space_group_name_Hall 'R 3 -2"'
loop_
_atom_site_label
_atom_site_type_symbol
_atom_site_fract_x
_atom_site_fract_y
_atom_site_fract_z
Mo1 Mo 0.0000 0.0000 0.0000
P1 P 0.0000 0.0000 0.7422
W1 W 0.0000 0.0000 0.2426
W2 W 0.0000 0.0000 0.4844
# energy of formation from the pure elements: 0.181 eV/atom
# total DFT energy (no corrections): -11.113 eV/atom
# crystal system: trigonal

# GGA-PBEsol MoPW, optimized geometry
data_MoPW
_cell_length_a 5.6976
_cell_length_b 5.6976
_cell_length_c 5.6976
_cell_angle_alpha 90.00
_cell_angle_beta 90.00
_cell_angle_gamma 90.00
_symmetry_space_group_name_H-M 'F -4 3 m'
_symmetry_Int_Tables_number 216
_symmetry_space_group_name_Hall 'F -4 2 3'
loop_
_atom_site_label
_atom_site_type_symbol
_atom_site_fract_x
_atom_site_fract_y
_atom_site_fract_z
Mo1 Mo 0.0000 0.0000 0.0000
P1 P 0.2500 0.2500 0.7500
W1 W 0.0000 0.0000 0.5000
# polymorph energy (0 for the lowest one): 0.351 eV/atom
# energy of formation from the pure elements: 0.232 eV/atom
# total DFT energy (no corrections): -10.223 eV/atom
# crystal system: cubic

# GGA-PBEsol Mo2PW, optimized geometry
data_Mo2PW
_cell_length_a 3.2381
_cell_length_b 4.5882
_cell_length_c 7.8827
_cell_angle_alpha 90.00
_cell_angle_beta 90.00
_cell_angle_gamma 90.00
_symmetry_space_group_name_H-M 'C m m m'
_symmetry_Int_Tables_number 65
_symmetry_space_group_name_Hall '-C 2 2'
loop_
_atom_site_label
_atom_site_type_symbol
_atom_site_fract_x
_atom_site_fract_y
_atom_site_fract_z
Mo1 Mo 0.0000 0.0000 0.2260
P1 P 0.0000 0.5000 0.0000
W1 W 0.0000 0.5000 0.5000
# energy of formation from the pure elements: 0.025 eV/atom
# total DFT energy (no corrections): -10.758 eV/atom
# crystal system: orthorhombic

# GGA-PBEsol Mo2PW, optimized geometry
data_Mo2PW
_cell_length_a 3.1025
_cell_length_b 4.1821
_cell_length_c 8.7867
_cell_angle_alpha 90.00
_cell_angle_beta 90.00
_cell_angle_gamma 90.00
_symmetry_space_group_name_H-M 'I m m 2'
_symmetry_Int_Tables_number 44
_symmetry_space_group_name_Hall 'I 2 -2'
loop_
_atom_site_label
_atom_site_type_symbol
_atom_site_fract_x
_atom_site_fract_y
_atom_site_fract_z
Mo1 Mo 0.0000 0.0000 0.0000
Mo2 Mo 0.0000 0.5000 0.2394
P1 P 0.0000 0.5000 0.7398
W1 W 0.0000 0.0000 0.4794
# energy of formation from the pure elements: -0.070 eV/atom
# total DFT energy (no corrections): -10.854 eV/atom
# crystal system: orthorhombic

# GGA-PBEsol MoP2W, optimized geometry
data_MoP2W
_cell_length_a 3.8875
_cell_length_b 3.8875
_cell_length_c 7.3935
_cell_angle_alpha 90.00
_cell_angle_beta 90.00
_cell_angle_gamma 90.00
_symmetry_space_group_name_H-M 'I -4 m 2'
_symmetry_Int_Tables_number 119
_symmetry_space_group_name_Hall 'I -4 -2'
loop_
_atom_site_label
_atom_site_type_symbol
_atom_site_fract_x
_atom_site_fract_y
_atom_site_fract_z
Mo1 Mo 0.0000 0.0000 0.0000
P1 P 0.0000 0.0000 0.5000
P2 P 0.0000 0.5000 0.2500
W1 W 0.0000 0.5000 0.7500
# energy of formation from the pure elements: 0.155 eV/atom
# total DFT energy (no corrections): -9.135 eV/atom
# crystal system: tetragonal

# GGA-PBEsol Mo2PW, optimized geometry
data_Mo2PW
_cell_length_a 3.1089
_cell_length_b 4.1631
_cell_length_c 8.7755
_cell_angle_alpha 90.00
_cell_angle_beta 90.00
_cell_angle_gamma 90.00
_symmetry_space_group_name_H-M 'I m m m'
_symmetry_Int_Tables_number 71
_symmetry_space_group_name_Hall '-I 2 2'
loop_
_atom_site_label
_atom_site_type_symbol
_atom_site_fract_x
_atom_site_fract_y
_atom_site_fract_z
Mo1 Mo 0.0000 0.0000 0.2390
P1 P 0.0000 0.5000 0.5000
W1 W 0.0000 0.5000 0.0000
# energy of formation from the pure elements: -0.062 eV/atom
# total DFT energy (no corrections): -10.846 eV/atom
# crystal system: orthorhombic